Record 1
Computed, not measured: crystalline Sr2Tl8Hg at its relaxed geometry at the PBE level of DFT.

Geometry as POSCAR:
```
Sr2Tl8Hg
1.0
-5.153 -0.704 -0.053
0.329 -2.044 -4.771
1.540 -11.660 5.102
Tl Sr Hg
8 2 1
direct
0.500 0.500 0.314
0.500 0.500 0.686
0.000 0.500 0.866
0.500 0.000 0.866
0.000 0.500 0.134
0.500 0.000 0.134
0.000 0.500 0.500
0.500 0.000 0.500
0.000 0.000 0.685
0.000 0.000 0.315
0.000 0.000 0.000
```

Values from the calculation:
Size of the total moment = 0.0 μB per formula unit
E_form = -167 meV per atom

---

Record 2
Computed, not measured: crystalline SrTl7Hg2 at its relaxed geometry at the PBE level of DFT.

Geometry as POSCAR:
```
SrTl7Hg2
1.0
-1.093 -0.997 -3.157
-8.545 -4.613 4.414
-0.246 10.193 -3.134
Hg Tl Sr
2 7 1
direct
0.500 0.672 0.328
0.500 0.328 0.672
0.500 0.860 0.660
0.000 0.812 0.188
0.500 0.660 0.860
0.500 0.500 0.500
0.000 0.188 0.812
0.500 0.140 0.340
0.500 0.340 0.140
0.000 0.000 0.000
```

Values from the calculation:
Size of the total moment = 0.0 μB per formula unit
E_form = 37 meV per atom

---

Record 3
Computed, not measured: crystalline Sr7Tl2Hg2 at its relaxed geometry at the PBE level of DFT.

Geometry as POSCAR:
```
Sr7Tl2Hg2
1.0
-3.855 0.080 -2.229
-4.206 -9.603 2.482
-7.205 -0.487 7.994
Sr Tl Hg
7 2 2
direct
0.863 0.410 0.865
0.182 0.711 0.926
0.137 0.135 0.590
0.818 0.074 0.289
0.391 0.706 0.512
0.500 0.020 0.980
0.609 0.488 0.294
0.256 0.343 0.144
0.744 0.856 0.657
0.500 0.338 0.662
0.000 0.775 0.225
```

Values from the calculation:
Size of the total moment = 0.0 μB per formula unit
E_form = -353 meV per atom

---

Record 4
Computed, not measured: crystalline Sr4Tl4Hg3 at its relaxed geometry at the PBE level of DFT.

Geometry as POSCAR:
```
Sr4Tl4Hg3
1.0
-1.144 -3.700 -0.946
2.264 0.475 -4.620
14.410 -10.041 3.151
Hg Sr Tl
3 4 4
direct
0.746 0.362 0.279
0.000 0.000 0.000
0.254 0.638 0.721
0.140 0.821 0.359
0.416 0.445 0.112
0.584 0.555 0.888
0.859 0.179 0.641
0.469 0.273 0.455
0.830 0.909 0.184
0.170 0.091 0.816
0.531 0.727 0.545
```

Values from the calculation:
Size of the total moment = 0.0 μB per formula unit
E_form = -370 meV per atom

---

Record 5
Computed, not measured: crystalline SrTl4Hg at its relaxed geometry at the PBE level of DFT.

Geometry as POSCAR:
```
SrTl4Hg
1.0
-3.135 -1.062 4.661
3.250 -6.593 0.683
8.862 4.482 1.084
Tl Hg Sr
8 2 2
direct
0.291 0.524 0.682
0.000 0.000 0.000
0.291 0.976 0.682
0.709 0.024 0.318
0.509 0.750 0.015
0.709 0.476 0.318
0.000 0.500 0.000
0.491 0.250 0.985
0.806 0.750 0.680
0.194 0.250 0.320
0.760 0.250 0.651
0.240 0.750 0.349
```

Values from the calculation:
Size of the total moment = 0.0 μB per formula unit
E_form = -175 meV per atom

---

Record 6
Computed, not measured: crystalline SrTlHg4 at its relaxed geometry at the PBE level of DFT.

Geometry as POSCAR:
```
SrTlHg4
1.0
-1.079 -2.592 -4.520
-7.028 -3.122 3.469
-3.741 7.876 -0.492
Hg Tl Sr
8 2 2
direct
0.770 0.579 0.540
0.230 0.079 0.460
0.437 0.250 0.875
0.000 0.500 0.000
0.770 0.921 0.540
0.563 0.750 0.125
0.000 0.000 0.000
0.230 0.421 0.460
0.848 0.250 0.697
0.152 0.750 0.303
0.630 0.250 0.261
0.370 0.750 0.739
```

Values from the calculation:
Size of the total moment = 0.0 μB per formula unit
E_form = -182 meV per atom

---

Record 7
Computed, not measured: crystalline SrTl2Hg2 at its relaxed geometry at the PBE level of DFT.

Geometry as POSCAR:
```
SrTl2Hg2
1.0
5.163 0.000 0.000
0.000 5.163 0.000
2.581 2.581 6.035
Hg Sr Tl
2 1 2
direct
0.750 0.250 0.500
0.250 0.750 0.500
0.000 0.000 0.000
0.622 0.622 0.756
0.378 0.378 0.244
```

Values from the calculation:
Size of the total moment = 0.0 μB per formula unit
E_form = -178 meV per atom

---

Record 8
Computed, not measured: crystalline Sr2Tl3Hg at its relaxed geometry at the PBE level of DFT.

Geometry as POSCAR:
```
Sr2Tl3Hg
1.0
-1.345 0.385 -3.715
0.305 -5.224 -0.652
-8.545 -0.874 3.003
Hg Tl Sr
1 3 2
direct
0.500 0.500 0.332
0.500 0.500 0.660
0.500 0.000 0.834
0.500 0.000 0.173
0.000 0.000 0.495
0.000 0.500 0.006
```

Values from the calculation:
Size of the total moment = 0.0 μB per formula unit
E_form = -355 meV per atom

---

Record 9
Computed, not measured: crystalline SrTl7Hg3 at its relaxed geometry at the PBE level of DFT.

Geometry as POSCAR:
```
SrTl7Hg3
1.0
-5.465 5.327 -2.098
-5.098 -4.820 1.043
2.050 4.204 5.332
Tl Sr Hg
7 1 3
direct
0.132 0.667 0.333
0.088 0.681 0.841
0.469 0.840 0.679
0.088 0.159 0.319
0.469 0.321 0.160
0.469 0.840 0.160
0.088 0.159 0.841
0.455 0.333 0.667
0.786 0.990 0.495
0.786 0.505 0.010
0.786 0.505 0.495
```

Values from the calculation:
Size of the total moment = 0.0 μB per formula unit
E_form = -70 meV per atom

---

Record 10
Computed, not measured: crystalline Sr2Tl3Hg2 at its relaxed geometry at the PBE level of DFT.

Geometry as POSCAR:
```
Sr2Tl3Hg2
1.0
-4.159 2.596 -0.096
-0.221 -4.826 4.282
3.241 5.356 4.380
Sr Tl Hg
2 3 2
direct
0.384 0.769 0.680
0.616 0.231 0.320
0.302 0.604 0.131
0.000 0.000 0.000
0.698 0.396 0.869
0.104 0.208 0.638
0.896 0.792 0.362
```

Values from the calculation:
Size of the total moment = 0.0 μB per formula unit
E_form = -333 meV per atom

---

Record 11
Computed, not measured: crystalline SrTl2Hg at its relaxed geometry at the PBE level of DFT.

Geometry as POSCAR:
```
SrTl2Hg
1.0
5.225 0.000 0.000
0.000 3.985 0.009
0.000 1.059 6.096
Tl Sr Hg
2 1 1
direct
0.000 0.427 0.477
0.000 0.073 0.023
0.500 0.750 0.750
0.500 0.250 0.250
```

Values from the calculation:
Size of the total moment = 0.0 μB per formula unit
E_form = -240 meV per atom

---

Record 12
Computed, not measured: crystalline Sr2Tl5Hg4 at its relaxed geometry at the PBE level of DFT.

Geometry as POSCAR:
```
Sr2Tl5Hg4
1.0
-4.036 -0.649 -4.880
-4.624 -6.500 0.536
-7.401 2.511 1.635
Hg Tl Sr
4 5 2
direct
0.752 0.587 0.910
0.248 0.090 0.415
0.752 0.910 0.585
0.248 0.413 0.090
0.752 0.823 0.177
0.248 0.177 0.823
0.752 0.177 0.823
0.000 0.500 0.500
0.248 0.823 0.177
0.694 0.306 0.306
0.306 0.694 0.694
```

Values from the calculation:
Size of the total moment = 0.0 μB per formula unit
E_form = -207 meV per atom